(1)
BaV2WO8: optimized geometry, PBE+U.

POSCAR file:
```
BaV2WO8
1.0
5.6834 0.0000 0.0000
-2.8417 4.9220 0.0000
0.0000 0.0000 7.3007
Ba V W O
1 2 1 8
direct
0.0000 0.0000 0.0000
0.3333 0.6667 0.7447
0.6667 0.3333 0.2553
0.0000 0.0000 0.5000
0.1604 0.3248 0.6685
0.1645 0.8396 0.6685
0.3248 0.1645 0.3315
0.3333 0.6667 0.9752
0.6667 0.3333 0.0248
0.6752 0.8355 0.6685
0.8355 0.1604 0.3315
0.8396 0.6752 0.3315
```

Properties
VASP energy: -7.4637 eV per atom
Symmetry: No. 147



(2)
Ba2VW3O12: optimized geometry, PBE+U.

POSCAR file:
```
Ba2VW3O12
1.0
3.7350 2.1564 5.9153
-3.7350 2.1564 5.9153
0.0000 -4.3128 5.9153
Ba V W O
2 1 3 12
direct
0.1712 0.1712 0.1712
0.8288 0.8288 0.8288
0.5000 0.5000 0.5000
0.0000 0.5000 0.5000
0.5000 0.0000 0.5000
0.5000 0.5000 0.0000
0.1749 0.5691 0.5691
0.1853 0.1853 0.5545
0.1853 0.5545 0.1853
0.4309 0.4309 0.8251
0.4309 0.8251 0.4309
0.4455 0.8147 0.8147
0.5545 0.1853 0.1853
0.5691 0.1749 0.5691
0.5691 0.5691 0.1749
0.8147 0.4455 0.8147
0.8147 0.8147 0.4455
0.8251 0.4309 0.4309
```

Properties
VASP energy: -7.3590 eV per atom
Symmetry: No. 166